No. 1
VASP calculation (PBE) on an optimized crystal structure of Co3HgB.

Calculated values
SG   Pm-3m (221)

abc: 3.9113 3.9113 3.9113
angles: 90.00 90.00 90.00
Last column: nearest neighbours and their distance in Å.
Positions (direct):
B1 0.0000 0.0000 0.0000  6 Co 1.96
Co1 0.0000 0.5000 0.0000  2 B 1.96
Co2 0.0000 0.0000 0.5000  2 B 1.96
Co3 0.5000 0.0000 0.0000  2 B 1.96
Hg1 0.5000 0.5000 0.5000  12 Co 2.77



No. 2
VASP calculation (PBE) on an optimized crystal structure of CoHgB3.

Calculated values
E above lowest polymorph   0.0 meV/atom
SG   Pm-3m (221)

abc: 3.9192 3.9192 3.9192
angles: 90.00 90.00 90.00
Last column: nearest neighbours and their distance in Å.
Positions (direct):
B1 0.0000 0.5000 0.0000  2 Co 1.96
B2 0.0000 0.0000 0.5000  2 Co 1.96
B3 0.5000 0.0000 0.0000  2 Co 1.96
Co1 0.0000 0.0000 0.0000  6 B 1.96
Hg1 0.5000 0.5000 0.5000  12 B 2.77



No. 3
VASP calculation (PBE) on an optimized crystal structure of CoHgB3.

Calculated values
E above lowest polymorph   1645.3 meV/atom
SG   Pm-3m (221)

abc: 4.3096 4.3096 4.3096
angles: 90.00 90.00 90.00
Last column: nearest neighbours and their distance in Å.
Positions (direct):
B1 0.0000 0.5000 0.0000  2 Hg 2.15
B2 0.0000 0.0000 0.5000  2 Hg 2.15
B3 0.5000 0.0000 0.0000  2 Hg 2.15
Co1 0.5000 0.5000 0.5000  12 B 3.05
Hg1 0.0000 0.0000 0.0000  6 B 2.15



Number 1: total moment 2.1 μB/f.u., E_form 0.180 eV/atom. Number 2: total moment 0.0 μB/f.u., E_form 1.031 eV/atom. Number 3: total moment 1.9 μB/f.u., E_form 2.677 eV/atom.